(1)
Material: HfNpSb2N
Method: DFT, PBE-GGA
State: relaxed

Cell lengths 3.875, 3.875, 14.074 Å; angles 90.00, 90.00, 90.00 degrees
Positions (direct):
Hf 0.250 0.250 0.068
Hf 0.750 0.750 0.932
Np 0.250 0.250 0.579
Np 0.750 0.750 0.421
Sb 0.250 0.250 0.286
Sb 0.250 0.250 0.856
Sb 0.750 0.750 0.144
Sb 0.750 0.750 0.714
N 0.250 0.750 0.500
N 0.750 0.250 0.500

V ... 211.4 Å³/cell
VASP energy ... -0.3149 hartree per atom

(2)
Material: HfNp2ScN4
Method: DFT, PBE-GGA
State: relaxed

Cell lengths 5.687, 3.284, 5.855 Å; angles 90.00, 108.88, 90.00 degrees
Positions (direct):
Hf 0.000 0.000 0.000
Np 0.000 0.500 0.500
Np 0.500 0.000 0.500
Sc 0.500 0.500 0.000
N 0.240 0.500 0.228
N 0.252 0.000 0.768
N 0.748 0.000 0.232
N 0.760 0.500 0.772

V ... 103.5 Å³/cell
VASP energy ... -0.4011 hartree per atom

(3)
Material: HfNpSeN2
Method: DFT, PBE-GGA
State: relaxed

Cell lengths 6.454, 3.949, 7.407 Å; angles 90.00, 110.46, 90.00 degrees
Positions (direct):
Hf 0.153 0.250 0.422
Hf 0.847 0.750 0.578
Np 0.187 0.250 0.934
Np 0.813 0.750 0.066
Se 0.466 0.750 0.259
Se 0.534 0.250 0.741
N 0.017 0.750 0.383
N 0.022 0.750 0.882
N 0.978 0.250 0.118
N 0.983 0.250 0.617

V ... 176.9 Å³/cell
VASP energy ... -0.3681 hartree per atom

(4)
Material: SmHfNp2N4
Method: DFT, PBE-GGA
State: relaxed

Cell lengths 5.905, 3.391, 5.946 Å; angles 90.00, 109.12, 90.00 degrees
Positions (direct):
Sm 0.000 0.000 0.000
Hf 0.000 0.500 0.500
Np 0.500 0.000 0.500
Np 0.500 0.500 0.000
N 0.240 0.000 0.724
N 0.256 0.500 0.278
N 0.744 0.500 0.722
N 0.760 0.000 0.276

V ... 112.5 Å³/cell
VASP energy ... -0.3892 hartree per atom